Compound: LaPr4Tm2
Source: Alexandria
Functional: PBE
Structure: relaxed

Summary:
SG: Cc, No. 9
mass density: 7.085 Mg/m³
formation energy: 0.065 eV per atom
offset from the most stable computed form: 0.00 eV/f.u.

Lattice parameters (Å, degrees): 12.7025 12.7025 6.9019 96.96 96.96 150.22
Sites, in units of the cell vectors:
Pr  0.7217  0.1853  0.8741
Pr  0.1853  0.7217  0.3741
Pr  0.1827  0.7884  0.9003
Pr  0.7884  0.1827  0.4003
Pr  0.0328  0.1381  0.5999
Pr  0.5613  0.5982  0.1259
Pr  0.5982  0.5613  0.6259
Pr  0.1381  0.0328  0.0999
Tm  0.6195  0.3032  0.4473
Tm  0.9227  0.1069  0.0532
Tm  0.1069  0.9227  0.5532
Tm  0.3032  0.6195  0.9473
La  0.4254  0.6752  0.5006
La  0.6752  0.4254  0.0006



Compound: Rb2NbI8
Source: Alexandria
Functional: PBE
Structure: relaxed

Summary:
formation energy from raw total energies: -0.72 eV per atom
SG: C2/m, No. 12
mass density: 3.438 Mg/m³

Lattice parameters (Å, degrees): 6.6325 9.8735 9.8735 79.33 79.63 79.63
Last column: magnetic moment on the atom in μB.
Sites, in units of the cell vectors:
Rb  0.1106  0.2849  0.2849  0.00
Rb  0.8894  0.7151  0.7151  0.00
Nb  0.0000  0.0000  0.0000  0.18
I  0.7910  0.0862  0.7722  -0.01
I  0.2090  0.2278  0.9138  -0.01
I  0.6845  0.1603  0.1603  0.00
I  0.3155  0.8397  0.8397  0.00
I  0.7910  0.7722  0.0862  -0.01
I  0.2090  0.9138  0.2278  -0.01
I  0.2552  0.4990  0.4990  0.00
I  0.7448  0.5010  0.5010  0.00



Compound: LaTlTe2H
Source: Alexandria
Functional: PBE
Structure: relaxed

Summary:
SG: P4/mmm, No. 123
total energy: -15.95 eV/cell
mass density: 3.930 Mg/m³

Lattice parameters (Å, degrees): 6.1329 6.7348 6.1329 90.00 90.00 90.00
Last column: magnetic moment on the atom in μB.
Sites, in units of the cell vectors:
H  0.5000  0.5000  0.5000  0.38
Tl  0.0000  0.5000  0.0000  0.04
Te  0.0000  0.0000  0.5000  -0.02
Te  0.5000  0.0000  0.0000  -0.02
La  0.0000  0.0000  0.0000  0.04



Compound: BeNiOs2
Source: Alexandria
Functional: PBE
Structure: relaxed

Summary:
SG: P4mm, No. 99
mass density: 15.655 Mg/m³
formation energy: -0.074 eV per atom

Lattice parameters (Å, degrees): 2.7286 2.7286 6.3853 90.00 90.00 90.00
Sites, in units of the cell vectors:
Ni  0.5000  0.5000  0.7076
Os  0.0000  0.0000  0.9953
Os  0.5000  0.5000  0.2784
Be  0.0000  0.0000  0.5187



Compound: Ce2TcH
Source: Alexandria
Functional: PBE
Structure: relaxed

Summary:
SG: R-3m, No. 166
mass density: 9.037 Mg/m³
offset from the most stable computed form: 0.32 eV/f.u.

Lattice parameters (Å, degrees): 3.2203 3.2203 7.9784 78.36 78.36 60.00
Sites, in units of the cell vectors:
H  0.5000  0.5000  0.5000
Tc  0.0000  0.0000  0.0000
Ce  0.7620  0.7620  0.7141
Ce  0.2380  0.2380  0.2859



Compound: BaBrO2
Source: Alexandria
Functional: PBE
Structure: relaxed

Summary:
formation energy from raw total energies: -1.31 eV per atom
SG: R-3m, No. 166
mass density: 4.358 Mg/m³
offset from the most stable computed form: 0.61 eV/f.u.

Lattice parameters (Å, degrees): 6.6645 6.6645 6.6645 36.76 36.76 36.76
Last column: magnetic moment on the atom in μB.
Sites, in units of the cell vectors:
O  0.8943  0.8943  0.8943  0.28
O  0.1057  0.1057  0.1057  0.28
Ba  0.5000  0.5000  0.5000  0.01
Br  0.0000  0.0000  0.0000  0.23



Compound: Pu3HfN4
Source: Alexandria
Functional: PBE
Structure: relaxed

Summary:
formation energy from raw total energies: -1.22 eV per atom
SG: P-43m, No. 215
mass density: 11.455 Mg/m³
offset from the most stable computed form: 1.37 eV/f.u.

Lattice parameters (Å, degrees): 5.1938 5.1938 5.1938 90.00 90.00 90.00
Last column: magnetic moment on the atom in μB.
Sites, in units of the cell vectors:
Pu  0.0000  0.5000  0.5000  5.02
Pu  0.5000  0.5000  0.0000  5.02
Pu  0.5000  0.0000  0.5000  5.02
Hf  0.0000  0.0000  0.0000  0.17
N  0.2332  0.7668  0.7668  -0.14
N  0.7668  0.7668  0.2332  -0.14
N  0.7668  0.2332  0.7668  -0.14
N  0.2332  0.2332  0.2332  -0.14



Compound: HfAgTe2
Source: Alexandria
Functional: PBE
Structure: relaxed

Summary:
formation energy from raw total energies: -0.12 eV per atom
SG: Fm-3m, No. 225
mass density: 9.485 Mg/m³

Lattice parameters (Å, degrees): 5.1183 5.1183 5.1183 60.00 60.00 60.00
Sites, in units of the cell vectors:
Te  0.2500  0.2500  0.2500
Te  0.7500  0.7500  0.7500
Hf  0.5000  0.5000  0.5000
Ag  0.0000  0.0000  0.0000



Compound: HoSc3Rh
Source: Alexandria
Functional: PBE
Structure: relaxed

Summary:
SG: C2/m, No. 12
mass density: 5.681 Mg/m³
formation energy: -0.325 eV per atom
offset from the most stable computed form: 0.00 eV/f.u.

Lattice parameters (Å, degrees): 6.4468 6.4468 7.3938 105.29 125.08 92.20
Sites, in units of the cell vectors:
Ho  0.5531  0.7439  0.2337
Ho  0.5101  0.3194  0.7663
Sc  0.9925  0.1682  0.7158
Sc  0.0708  0.8951  0.2840
Sc  0.6111  0.7868  0.7160
Sc  0.9753  0.3682  0.2802
Sc  0.4523  0.2767  0.2842
Sc  0.0880  0.6952  0.7198
Rh  0.5317  0.0317  0.0001
Rh  0.0316  0.5316  0.9999



Compound: InSi2Se
Source: Alexandria
Functional: PBE
Structure: relaxed

Summary:
formation energy from raw total energies: 0.37 eV per atom
SG: Cmm2, No. 35
mass density: 4.981 Mg/m³

Lattice parameters (Å, degrees): 3.4398 3.4398 7.7350 90.00 90.00 114.44
Sites, in units of the cell vectors:
In  0.0000  0.0000  0.4898
Se  0.5000  0.5000  0.7830
Si  0.0000  0.0000  0.0143
Si  0.5000  0.5000  0.2129



Compound: Pr2MgSc
Source: Alexandria
Functional: PBE
Structure: relaxed

Summary:
SG: Fm-3m, No. 225
mass density: 4.871 Mg/m³
formation energy: 0.010 eV per atom
offset from the most stable computed form: 0.07 eV/f.u.

Lattice parameters (Å, degrees): 5.5314 5.5314 5.5314 60.00 60.00 60.00
Sites, in units of the cell vectors:
Pr  0.2500  0.2500  0.2500
Pr  0.7500  0.7500  0.7500
Sc  0.5000  0.5000  0.5000
Mg  0.0000  0.0000  0.0000



Compound: ScCd4W2
Source: Alexandria
Functional: PBE
Structure: relaxed

Summary:
SG: I4/mmm, No. 139
mass density: 7.125 Mg/m³
formation energy: 1.237 eV per atom

Lattice parameters (Å, degrees): 5.3943 5.3943 7.8897 70.01 70.01 90.00
Sites, in units of the cell vectors:
Sc  0.0000  0.0000  0.0000
W  0.5800  0.5800  0.8400
W  0.4200  0.4200  0.1600
Cd  0.7907  0.7907  0.4186
Cd  0.2093  0.2093  0.5814
Cd  0.0000  0.5000  0.0000
Cd  0.5000  0.0000  0.0000



Compound: CuRu2Rh
Source: Alexandria
Functional: PBE
Structure: relaxed

Summary:
SG: Imm2, No. 44
mass density: 11.175 Mg/m³
formation energy: 0.313 eV per atom
offset from the most stable computed form: 0.78 eV/f.u.

Lattice parameters (Å, degrees): 5.1041 5.1041 5.1041 147.79 128.72 61.86
Sites, in units of the cell vectors:
Cu  0.4981  0.4981  0.0000
Rh  0.7353  0.2353  0.5000
Ru  0.0058  0.0058  0.0000
Ru  0.2608  0.7608  0.5000



Compound: Na3Nd3SbO8
Source: Alexandria
Functional: PBE
Structure: relaxed

Summary:
formation energy from raw total energies: -2.35 eV per atom
SG: R-3m, No. 166
mass density: 5.121 Mg/m³

Lattice parameters (Å, degrees): 7.0716 7.0712 6.9531 120.58 90.00 120.00
Sites, in units of the cell vectors:
Na  0.0000  0.0000  0.0000
Na  0.0000  0.5000  0.0000
Na  0.5000  0.5000  0.0000
Nd  0.5000  0.0000  0.5000
Nd  0.5000  0.5000  0.5000
Nd  0.0000  0.5000  0.5000
Sb  0.0000  0.0000  0.5000
O  0.2615  0.5229  0.2845
O  0.7385  0.4771  0.7155
O  0.7834  0.5668  0.2988
O  0.2166  0.4332  0.7012
O  0.7834  0.0153  0.2988
O  0.2166  0.9847  0.7012
O  0.2319  0.0153  0.2988
O  0.7681  0.9847  0.7012



Compound: CsPdAu2
Source: Alexandria
Functional: PBE
Structure: relaxed

Summary:
SG: Fm-3m, No. 225
mass density: 10.241 Mg/m³
formation energy: 0.521 eV per atom

Lattice parameters (Å, degrees): 5.2561 5.2561 5.2561 60.00 60.00 60.00
Sites, in units of the cell vectors:
Cs  0.5000  0.5000  0.5000
Au  0.2500  0.2500  0.2500
Au  0.7500  0.7500  0.7500
Pd  0.0000  0.0000  0.0000



Compound: Sc3MnAg
Source: Alexandria
Functional: PBE
Structure: relaxed

Summary:
SG: Pm-3m, No. 221
mass density: 3.622 Mg/m³
formation energy: 0.679 eV per atom
offset from the most stable computed form: 2.41 eV/f.u.

Lattice parameters (Å, degrees): 5.1484 5.1484 5.1484 90.00 90.00 90.00
Last column: magnetic moment on the atom in μB.
Sites, in units of the cell vectors:
Sc  0.0000  0.5000  0.0000  -0.32
Sc  0.0000  0.0000  0.5000  -0.20
Sc  0.5000  0.0000  0.0000  -0.47
Mn  0.5000  0.5000  0.5000  4.15
Ag  0.0000  0.0000  0.0000  -0.06



Compound: YCoMo2
Source: Alexandria
Functional: PBE
Structure: relaxed

Summary:
SG: P4/mmm, No. 123
mass density: 7.842 Mg/m³
formation energy: 0.364 eV per atom
offset from the most stable computed form: 0.67 eV/f.u.

Lattice parameters (Å, degrees): 3.2296 3.2317 6.8919 90.00 90.00 90.00
Last column: magnetic moment on the atom in μB.
Sites, in units of the cell vectors:
Co  0.5000  0.5000  0.7500  0.90
Mo  0.0000  0.0000  0.9238  0.03
Mo  0.0000  0.0000  0.5762  0.03
Y  0.5000  0.5000  0.2500  -0.01



Compound: Zn2ReCl
Source: Alexandria
Functional: PBE
Structure: relaxed

Summary:
formation energy from raw total energies: 0.51 eV per atom
SG: P4mm, No. 99
mass density: 8.430 Mg/m³
offset from the most stable computed form: 1.41 eV/f.u.

Lattice parameters (Å, degrees): 2.8910 2.8910 8.3073 90.00 90.00 90.00
Sites, in units of the cell vectors:
Cl  0.0000  0.0000  0.5660
Re  0.5000  0.5000  0.7604
Zn  0.0000  0.0000  0.9732
Zn  0.5000  0.5000  0.2004



Compound: MgAu
Source: Alexandria
Functional: PBE
Structure: relaxed

Summary:
SG: Pm-3m, No. 221
mass density: 10.141 Mg/m³
formation energy: -0.603 eV per atom

Lattice parameters (Å, degrees): 3.3090 3.3090 3.3090 90.00 90.00 90.00
Sites, in units of the cell vectors:
Mg  0.5000  0.5000  0.5000
Au  0.0000  0.0000  0.0000



Compound: ScVSi3
Source: Alexandria
Functional: PBE
Structure: relaxed

Summary:
formation energy from raw total energies: 0.13 eV per atom
SG: Pm-3m, No. 221
mass density: 3.278 Mg/m³

Lattice parameters (Å, degrees): 4.5023 4.5023 4.5023 90.00 90.00 90.00
Sites, in units of the cell vectors:
Sc  0.5000  0.5000  0.5000
Si  0.0000  0.5000  0.0000
Si  0.0000  0.0000  0.5000
Si  0.5000  0.0000  0.0000
V  0.0000  0.0000  0.0000



Compound: ReAs
Source: Alexandria
Functional: PBE
Structure: relaxed

Summary:
SG: R-3m, No. 166
mass density: 11.421 Mg/m³
formation energy: 0.130 eV per atom
offset from the most stable computed form: 0.11 eV/f.u.

Lattice parameters (Å, degrees): 10.2540 10.2540 10.2540 16.51 16.51 16.51
Sites, in units of the cell vectors:
Re  0.5053  0.5053  0.5053
Re  0.2447  0.2447  0.2447
As  0.9742  0.9742  0.9742
As  0.7758  0.7758  0.7758



Compound: HfZn2HgMo
Source: Alexandria
Functional: PBE
Structure: relaxed

Summary:
SG: P4/mmm, No. 123
mass density: 8.840 Mg/m³
formation energy: 1.098 eV per atom

Lattice parameters (Å, degrees): 4.7259 5.0957 4.7259 90.00 90.00 90.00
Sites, in units of the cell vectors:
Zn  0.0000  0.0000  0.5000
Zn  0.5000  0.0000  0.0000
Mo  0.0000  0.0000  0.0000
Hf  0.5000  0.5000  0.5000
Hg  0.0000  0.5000  0.0000



Compound: Tm5Th5Sc2
Source: Alexandria
Functional: PBE
Structure: relaxed

Summary:
SG: C2/m, No. 12
mass density: 9.553 Mg/m³
formation energy: 0.078 eV per atom
offset from the most stable computed form: 0.35 eV/f.u.

Lattice parameters (Å, degrees): 5.5280 6.5001 11.8199 106.87 90.00 115.16
Sites, in units of the cell vectors:
Tm  0.5000  0.0000  0.5000
Tm  0.7062  0.4124  0.0412
Tm  0.5416  0.0833  0.2142
Tm  0.4584  0.9167  0.7858
Tm  0.2938  0.5876  0.9588
Th  0.1999  0.3999  0.5361
Th  0.7499  0.4998  0.7535
Th  0.2501  0.5002  0.2465
Th  0.8001  0.6001  0.4639
Th  0.0000  0.0000  0.0000
Sc  0.0466  0.0931  0.7149
Sc  0.9534  0.9069  0.2851



Compound: NbNi2CS
Source: Alexandria
Functional: PBE
Structure: relaxed

Summary:
formation energy from raw total energies: 1.74 eV per atom
SG: P4/mmm, No. 123
mass density: 4.843 Mg/m³

Lattice parameters (Å, degrees): 4.7242 3.9080 4.7242 90.00 90.00 90.00
Sites, in units of the cell vectors:
C  0.0000  0.5000  0.0000
Ni  0.0000  0.0000  0.5000
Ni  0.5000  0.0000  0.0000
Nb  0.0000  0.0000  0.0000
S  0.5000  0.5000  0.5000



Compound: MnPRu2
Source: Alexandria
Functional: PBE
Structure: relaxed

Summary:
SG: P4mm, No. 99
mass density: 9.685 Mg/m³
formation energy: -0.182 eV per atom
offset from the most stable computed form: 0.18 eV/f.u.

Lattice parameters (Å, degrees): 2.7811 2.7811 6.3853 90.00 90.00 90.00
Sites, in units of the cell vectors:
Mn  0.0000  0.0000  0.5379
P  0.5000  0.5000  0.7337
Ru  0.0000  0.0000  0.9641
Ru  0.5000  0.5000  0.2642



Compound: Cs3Cd4Ag
Source: Alexandria
Functional: PBE
Structure: relaxed

Summary:
SG: Imm2, No. 44
mass density: 5.039 Mg/m³
formation energy: -0.025 eV per atom

Lattice parameters (Å, degrees): 6.6348 7.8514 7.9380 119.64 114.70 90.00
Sites, in units of the cell vectors:
Cs  0.4373  0.6846  0.8746
Cs  0.0951  0.0951  0.1903
Cs  0.4373  0.1899  0.8746
Ag  0.9783  0.4783  0.9567
Cd  0.7670  0.4575  0.5341
Cd  0.7670  0.0766  0.5341
Cd  0.4269  0.6834  0.3669
Cd  0.9400  0.6834  0.3669



Number 1: M_tot 0.00 μB/f.u.. Number 2: M_tot 0.16 μB/f.u.. Number 3: M_tot 1.09 μB/f.u.. Number 4: M_tot 0.00 μB/f.u.. Number 5: M_tot 0.00 μB/f.u.. Number 6: M_tot 1.00 μB/f.u.. Number 7: M_tot 15.91 μB/f.u.. Number 8: M_tot 0.00 μB/f.u.. Number 9: M_tot 0.00 μB/f.u.. Number 10: M_tot 0.00 μB/f.u.. Number 11: M_tot 0.00 μB/f.u.. Number 12: M_tot 0.00 μB/f.u.. Number 13: M_tot 0.00 μB/f.u.. Number 14: M_tot 0.00 μB/f.u.. Number 15: M_tot 0.00 μB/f.u.. Number 16: M_tot 2.46 μB/f.u.. Number 17: M_tot 0.95 μB/f.u.. Number 18: M_tot 0.00 μB/f.u.. Number 19: M_tot 0.00 μB/f.u.. Number 20: M_tot 0.00 μB/f.u.. Number 21: M_tot 0.00 μB/f.u.. Number 22: M_tot 0.00 μB/f.u.. Number 23: M_tot 0.00 μB/f.u.. Number 24: M_tot 0.00 μB/f.u.. Number 25: M_tot 0.00 μB/f.u.. Number 26: M_tot 0.00 μB/f.u..